Entry 1:
VASP calculation (PBE) on an optimized crystal structure of NpHg2I4.

Properties
The total energy is -3.264 eV per atom. Its density of states at the Fermi level is 12.602 states/eV/f.u.

Lattice parameters (Å, degrees): 10.8526 10.8526 10.8526 147.43 147.43 46.73
Last column: nearest neighbours and their distance in Å.
Element x y z (fractional)
1 Np 0.0000 0.0000 0.0000  6 I 2.90-3.04
2 Hg 0.3380 0.3380 0.0000  1 I 3.83
3 Hg 0.6620 0.6620 0.0000  1 I 3.83
4 I 0.0000 0.5000 0.5000  2 Np 3.04
5 I 0.1456 0.1456 0.0000  1 Np 2.90
6 I 0.5000 0.0000 0.5000  2 Np 3.04
7 I 0.8544 0.8544 0.0000  1 Np 2.90

Entry 2:
VASP calculation (PBE) on an optimized crystal structure of Np3HgI8.

Properties
The total energy is -5.028 eV per atom. Its density of states at the Fermi level is 20.867 states/eV/f.u.

Lattice parameters (Å, degrees): 11.1201 11.1201 11.1201 47.58 47.58 47.58
Last column: nearest neighbours and their distance in Å.
Element x y z (fractional)
1 Np 0.0000 0.5000 0.5000  6 I 3.11-3.19
2 Np 0.5000 0.0000 0.5000  6 I 3.11-3.19
3 Np 0.5000 0.5000 0.0000  6 I 3.11-3.19
4 Hg 0.5000 0.5000 0.5000  6 I 4.04
5 I 0.2306 0.2306 0.7190  2 Np 3.11
6 I 0.2306 0.7190 0.2306  2 Np 3.11
7 I 0.2700 0.2700 0.2700  3 Np 3.19
8 I 0.2810 0.7694 0.7694  2 Np 3.11
9 I 0.7190 0.2306 0.2306  2 Np 3.11
10 I 0.7300 0.7300 0.7300  3 Np 3.19
11 I 0.7694 0.2810 0.7694  2 Np 3.11
12 I 0.7694 0.7694 0.2810  2 Np 3.11

Entry 3:
VASP calculation (PBE) on an optimized crystal structure of NpHg2I4.

Properties
The total energy is -3.319 eV per atom. Its density of states at the Fermi level is 8.709 states/eV/f.u.

Lattice parameters (Å, degrees): 11.0799 13.2832 4.4544 90.00 90.00 90.00
Last column: nearest neighbours and their distance in Å.
Element x y z (fractional)
1 Np 0.0000 0.0000 0.0000  6 I 2.91-3.08
2 Np 0.5000 0.5000 0.0000  6 I 2.91-3.08
3 Hg 0.0600 0.3806 0.5000  1 Hg 3.44
4 Hg 0.4400 0.8806 0.5000  1 Hg 3.44
5 Hg 0.5600 0.1194 0.5000  1 Hg 3.44
6 Hg 0.9400 0.6194 0.5000  1 Hg 3.44
7 I 0.1348 0.8122 0.0000  1 Np 2.91
8 I 0.1650 0.0818 0.5000  2 Np 3.08
9 I 0.3350 0.5818 0.5000  2 Np 3.08
10 I 0.3652 0.3122 0.0000  1 Np 2.91
11 I 0.6348 0.6878 0.0000  1 Np 2.91
12 I 0.6650 0.4182 0.5000  2 Np 3.08
13 I 0.8350 0.9182 0.5000  2 Np 3.08
14 I 0.8652 0.1878 0.0000  1 Np 2.91

Entry 4:
VASP calculation (PBE) on an optimized crystal structure of NpHgI2O8.

Properties
The total energy is -5.669 eV per atom. Its density of states at the Fermi level is 0.607 states/eV/f.u.

Lattice parameters (Å, degrees): 5.9064 5.9064 8.4609 111.29 111.29 72.77
Last column: nearest neighbours and their distance in Å.
Element x y z (fractional)
1 Np 0.0000 0.0000 0.0000  4 O 2.01
2 Hg 0.5000 0.5000 0.5000  6 O 3.23-3.61
3 I 0.3236 0.3236 0.8392  2 O 1.86-1.87
4 I 0.6764 0.6764 0.1608  2 O 1.86-1.87
5 O 0.0547 0.6474 0.8494  1 Np 2.01, 1 I 2.09
6 O 0.1200 0.1200 0.8207  1 I 1.87
7 O 0.3526 0.9453 0.1506  1 Np 2.01, 1 I 2.09
8 O 0.4162 0.4162 0.0851  1 I 1.86
9 O 0.5838 0.5838 0.9149  1 I 1.86
10 O 0.6474 0.0547 0.8494  1 Np 2.01, 1 I 2.09
11 O 0.8800 0.8800 0.1793  1 I 1.87
12 O 0.9453 0.3526 0.1506  1 Np 2.01, 1 I 2.09

Entry 5:
VASP calculation (PBE) on an optimized crystal structure of NpHgIO6.

Properties
The total energy is -6.115 eV per atom. Its density of states at the Fermi level is 6.063 states/eV/f.u.

Lattice parameters (Å, degrees): 5.7257 5.7257 9.8526 90.00 90.00 120.00
Last column: nearest neighbours and their distance in Å.
Element x y z (fractional)
1 Np 0.3333 0.6667 0.2500  6 O 2.15
2 Np 0.6667 0.3333 0.7500  6 O 2.15
3 Hg 0.0000 0.0000 0.0000  6 O 2.49
4 Hg 0.0000 0.0000 0.5000  6 O 2.49
5 I 0.3333 0.6667 0.7500  6 O 2.12
6 I 0.6667 0.3333 0.2500  6 O 2.12
7 O 0.0039 0.3646 0.6390  1 I 2.12, 1 Np 2.15
8 O 0.0039 0.6394 0.8610  1 I 2.12, 1 Np 2.15
9 O 0.3606 0.3646 0.8610  1 I 2.12, 1 Np 2.15
10 O 0.3606 0.9961 0.6390  1 I 2.12, 1 Np 2.15
11 O 0.3646 0.0039 0.1390  1 I 2.12, 1 Np 2.15
12 O 0.3646 0.3606 0.3610  1 I 2.12, 1 Np 2.15
13 O 0.6354 0.6394 0.6390  1 I 2.12, 1 Np 2.15
14 O 0.6354 0.9961 0.8610  1 I 2.12, 1 Np 2.15
15 O 0.6394 0.0039 0.3610  1 I 2.12, 1 Np 2.15
16 O 0.6394 0.6354 0.1390  1 I 2.12, 1 Np 2.15
17 O 0.9961 0.3606 0.1390  1 I 2.12, 1 Np 2.15
18 O 0.9961 0.6354 0.3610  1 I 2.12, 1 Np 2.15

Entry 6:
VASP calculation (PBE) on an optimized crystal structure of NpHgPbI6.

Properties
The total energy is -3.558 eV per atom. Its density of states at the Fermi level is 2.800 states/eV/f.u.

Lattice parameters (Å, degrees): 7.9944 7.9944 17.9869 90.00 90.00 120.00
Last column: nearest neighbours and their distance in Å.
Element x y z (fractional)
1 Np 0.3333 0.6667 0.2500  6 I 3.02
2 Np 0.6667 0.3333 0.7500  6 I 3.02
3 Hg 0.0000 0.0000 0.0000  6 I 3.94
4 Hg 0.0000 0.0000 0.5000  6 I 3.94
5 Pb 0.3333 0.6667 0.7500  6 I 3.25
6 Pb 0.6667 0.3333 0.2500  6 I 3.25
7 I 0.0226 0.3649 0.1520  1 Np 3.02, 1 Pb 3.25
8 I 0.0226 0.6577 0.3480  1 Np 3.02, 1 Pb 3.25
9 I 0.3423 0.3649 0.3480  1 Np 3.02, 1 Pb 3.25
10 I 0.3423 0.9774 0.1520  1 Np 3.02, 1 Pb 3.25
11 I 0.3649 0.0226 0.6520  1 Np 3.02, 1 Pb 3.25
12 I 0.3649 0.3423 0.8480  1 Np 3.02, 1 Pb 3.25
13 I 0.6351 0.6577 0.1520  1 Np 3.02, 1 Pb 3.25
14 I 0.6351 0.9774 0.3480  1 Np 3.02, 1 Pb 3.25
15 I 0.6577 0.0226 0.8480  1 Np 3.02, 1 Pb 3.25
16 I 0.6577 0.6351 0.6520  1 Np 3.02, 1 Pb 3.25
17 I 0.9774 0.3423 0.6520  1 Np 3.02, 1 Pb 3.25
18 I 0.9774 0.6351 0.8480  1 Np 3.02, 1 Pb 3.25

Entry 7:
VASP calculation (PBE) on an optimized crystal structure of RbNpHgI6.

Properties
The total energy is -3.362 eV per atom. Its density of states at the Fermi level is 8.454 states/eV/f.u.

Lattice parameters (Å, degrees): 8.8454 8.8454 7.3981 90.00 90.00 120.00
Last column: nearest neighbours and their distance in Å.
Element x y z (fractional)
1 Rb 0.0000 0.0000 0.0000  6 I 3.72
2 Np 0.6667 0.3333 0.0000  6 I 2.95
3 Hg 0.3333 0.6667 0.5000  6 I 3.79
4 I 0.3987 0.0613 0.7665  1 Np 2.95
5 I 0.3987 0.3375 0.2335  1 Np 2.95
6 I 0.6625 0.0613 0.2335  1 Np 2.95
7 I 0.6625 0.6013 0.7665  1 Np 2.95
8 I 0.9387 0.3375 0.7665  1 Np 2.95
9 I 0.9387 0.6013 0.2335  1 Np 2.95

Entry 8:
VASP calculation (PBE) on an optimized crystal structure of RbNpHg2I8.

Properties
The total energy is -2.905 eV per atom. Its density of states at the Fermi level is 4.587 states/eV/f.u.

Lattice parameters (Å, degrees): 7.7293 8.3510 10.4062 113.26 92.71 95.07
Last column: nearest neighbours and their distance in Å.
Element x y z (fractional)
1 Rb 0.0000 0.0000 0.0000  6 I 3.63-3.84
2 Np 0.0000 0.0000 0.5000  6 I 3.02-3.16
3 Hg 0.4648 0.6650 0.1987  4 I 2.79-3.03
4 Hg 0.5352 0.3350 0.8013  4 I 2.79-3.03
5 I 0.1010 0.7263 0.2106  1 Hg 2.90, 1 Np 3.16
6 I 0.1578 0.8028 0.6556  1 Np 3.02
7 I 0.3409 0.2603 0.5480  1 Hg 2.79
8 I 0.4404 0.2702 0.0404  2 Hg 2.86-3.03
9 I 0.5596 0.7298 0.9596  2 Hg 2.86-3.03
10 I 0.6591 0.7397 0.4520  1 Hg 2.79
11 I 0.8422 0.1972 0.3444  1 Np 3.02
12 I 0.8990 0.2737 0.7894  1 Hg 2.90, 1 Np 3.16

Entry 9:
VASP calculation (PBE) on an optimized crystal structure of NpTl2HgI6.

Properties
The total energy is -3.377 eV per atom. Its density of states at the Fermi level is 3.154 states/eV/f.u.

Lattice parameters (Å, degrees): 9.3456 9.3456 9.3456 54.97 54.97 54.97
Last column: nearest neighbours and their distance in Å.
Element x y z (fractional)
1 Np 0.0000 0.0000 0.0000  6 I 3.01-3.02
2 Tl 0.3361 0.3361 0.3361  6 I 3.53
3 Tl 0.8159 0.8159 0.8159  6 I 3.54-3.57
4 Hg 0.5049 0.5049 0.5049  6 I 3.84-3.92, 1 Tl 4.00
5 I 0.0669 0.3617 0.7879  1 Np 3.01
6 I 0.1949 0.9454 0.6328  1 Np 3.02
7 I 0.3617 0.7879 0.0669  1 Np 3.01
8 I 0.6328 0.1949 0.9454  1 Np 3.02
9 I 0.7879 0.0669 0.3617  1 Np 3.01
10 I 0.9454 0.6328 0.1949  1 Np 3.02

Entry 10:
VASP calculation (PBE) on an optimized crystal structure of NpZnHgI6.

Properties
The total energy is -3.200 eV per atom. Its density of states at the Fermi level is 4.233 states/eV/f.u.

Lattice parameters (Å, degrees): 7.4563 7.4563 9.4111 90.00 90.00 120.00
Last column: nearest neighbours and their distance in Å.
Element x y z (fractional)
1 Np 0.0000 0.0000 0.0000  6 I 3.01
2 Zn 0.3333 0.6667 0.0000  6 I 2.90
3 Hg 0.6667 0.3333 0.5000  6 I 4.00
4 I 0.0267 0.3458 0.1813  1 Zn 2.90, 1 Np 3.01
5 I 0.0267 0.6809 0.8187  1 Zn 2.90, 1 Np 3.01
6 I 0.3191 0.3458 0.8187  1 Zn 2.90, 1 Np 3.01
7 I 0.3191 0.9733 0.1813  1 Zn 2.90, 1 Np 3.01
8 I 0.6542 0.6809 0.1813  1 Zn 2.90, 1 Np 3.01
9 I 0.6542 0.9733 0.8187  1 Zn 2.90, 1 Np 3.01

The calculation returns the following energy relative to the elements, uncorrected values, one per record and in order: -443, -735, -499, -1001, -1166, -641, -750, -662, -649, -554 meV/atom.